Density functional theory data (GGA-PBE) for crystalline ScNiPdAu at its relaxed geometry.

```
4
Lattice="-2.024 2.024 3.885 2.024 -2.024 3.885 2.024 2.024 -3.885" Properties=species:S:1:pos:R:3 pbc="T T T"
Sc 0.000 0.000 0.000
Ni 0.000 2.024 1.942
Pd 2.024 0.000 1.942
Au 0.000 0.000 3.885
```

Results
relative energy among the computed polymorphs = 0.0 kJ/mol of atoms
ΔE_f = -600 meV/atom
crystal system = tetragonal
DOS at the Fermi energy = 1.7 states/eV per cell
uncorrected energy = -5.746 eV per atom



Density functional theory data (GGA-PBE) for crystalline CeErS2 at its relaxed geometry.

```
4
Lattice="1.924 1.111 6.932 -1.924 1.111 6.932 0.000 -2.222 6.932" Properties=species:S:1:pos:R:3 pbc="T T T"
Ce 0.000 0.000 0.000
Er 0.000 0.000 17.139
S 0.000 0.000 4.964
S 0.000 0.000 8.702
```

Results
relative energy among the computed polymorphs = 8.5 kJ/mol of atoms
crystal system = trigonal
E_form (uncorrected) = -1926 meV per atom
DOS at the Fermi energy = 6.5 states/eV per cell
uncorrected energy = -6.614 eV per atom



Density functional theory data (GGA-PBE) for crystalline Sc2MnCuBr at its relaxed geometry.

```
5
Lattice="4.952 0.000 0.000 0.000 4.952 0.000 0.000 0.000 4.472" Properties=species:S:1:pos:R:3 pbc="T T T"
Sc 0.000 2.476 0.000
Sc 2.476 0.000 0.000
Mn 0.000 0.000 2.236
Cu 2.476 2.476 2.236
Br 0.000 0.000 0.000
```

Results
crystal system = tetragonal
E_form (uncorrected) = 441 meV per atom
DOS at the Fermi energy = 3.3 states/eV per cell
uncorrected energy = -5.079 eV per atom



Density functional theory data (GGA-PBE) for crystalline NbNi4Au at its relaxed geometry.

```
6
Lattice="0.000 3.380 3.380 3.380 0.000 3.380 3.380 3.380 0.000" Properties=species:S:1:pos:R:3 pbc="T T T"
Nb 0.000 0.000 0.000
Ni 4.226 2.534 2.534
Ni 2.534 4.226 2.534
Ni 2.534 2.534 4.226
Ni 4.226 4.226 4.226
Au 1.690 1.690 1.690
```

Results
ΔE_f = -235 meV/atom
crystal system = cubic
DOS at the Fermi energy = 3.5 states/eV per cell
uncorrected energy = -6.314 eV per atom



Density functional theory data (GGA-PBE) for crystalline Sm2GdDy at its relaxed geometry.

```
4
Lattice="3.600 0.000 0.000 0.000 3.600 0.000 0.000 0.000 10.153" Properties=species:S:1:pos:R:3 pbc="T T T"
Sm 0.000 0.000 2.516
Sm 0.000 0.000 7.637
Gd 1.800 1.800 5.076
Dy 1.800 1.800 0.000
```

Results
relative energy among the computed polymorphs = 0.3 kJ/mol of atoms
ΔE_f = 18 meV/atom
crystal system = tetragonal
DOS at the Fermi energy = 6.2 states/eV per cell
uncorrected energy = -7.013 eV per atom



Density functional theory data (GGA-PBE) for crystalline Mg8Zn3Hg3 at its relaxed geometry.

```
14
Lattice="6.662 0.000 0.000 0.208 6.786 0.000 3.138 0.020 6.913" Properties=species:S:1:pos:R:3 pbc="T T T"
Mg 1.464 1.126 2.237
Mg 1.975 4.938 1.564
Mg 4.681 1.093 4.704
Mg 5.159 4.900 5.304
Mg 4.849 1.906 1.609
Mg 5.327 5.713 2.209
Mg 8.033 1.868 5.349
Mg 8.544 5.680 4.677
Zn 2.605 2.446 0.012
Zn 3.331 0.000 0.000
Zn 7.403 4.360 6.901
Hg 0.104 3.393 0.000
Hg 3.311 3.360 3.541
Hg 6.697 3.446 3.372
```

Results
ΔE_f = -43 meV/atom
crystal system = triclinic
DOS at the Fermi energy = 4.6 states/eV per cell
uncorrected energy = -1.292 eV per atom



Density functional theory data (GGA-PBE) for crystalline KReTc2 at its relaxed geometry.

```
4
Lattice="2.734 0.000 0.000 0.000 3.869 0.000 -0.083 0.000 8.170" Properties=species:S:1:pos:R:3 pbc="T T T"
K 0.000 0.000 0.000
Re 1.588 1.935 5.339
Tc 0.403 0.000 4.113
Tc 1.612 1.935 2.846
```

Results
relative energy among the computed polymorphs = 12.5 kJ/mol of atoms
ΔE_f = 841 meV/atom
crystal system = monoclinic
DOS at the Fermi energy = 4.7 states/eV per cell
uncorrected energy = -7.729 eV per atom



Density functional theory data (GGA-PBE) for crystalline TaBeOs4 at its relaxed geometry.

```
6
Lattice="0.000 3.613 3.613 3.613 0.000 3.613 3.613 3.613 0.000" Properties=species:S:1:pos:R:3 pbc="T T T"
Ta 0.000 0.000 0.000
Be 5.419 5.419 5.419
Os 2.714 2.714 2.714
Os 4.512 4.512 2.714
Os 4.512 2.714 4.512
Os 2.714 4.512 4.512
```

Results
ΔE_f = 421 meV/atom
crystal system = cubic
DOS at the Fermi energy = 6.2 states/eV per cell
uncorrected energy = -9.662 eV per atom



Density functional theory data (GGA-PBE) for crystalline FeRe2Au at its relaxed geometry.

```
4
Lattice="1.392 0.803 9.056 -1.392 0.803 9.056 0.000 -1.607 9.056" Properties=species:S:1:pos:R:3 pbc="T T T"
Fe 0.000 0.000 0.000
Re 0.000 0.000 13.355
Re 0.000 0.000 20.283
Au 0.000 0.000 6.801
```

Results
relative energy among the computed polymorphs = 0.0 kJ/mol of atoms
ΔE_f = 219 meV/atom
crystal system = trigonal
DOS at the Fermi energy = 2.8 states/eV per cell
uncorrected energy = -8.940 eV per atom



Density functional theory data (GGA-PBE) for crystalline K2SnAu2 at its relaxed geometry.

```
10
Lattice="5.566 -3.381 0.000 5.566 3.381 0.000 -1.521 0.000 8.131" Properties=species:S:1:pos:R:3 pbc="T T T"
K 1.431 0.841 1.130
K 0.670 -0.841 5.196
K 8.940 0.841 2.935
K 8.180 -0.841 7.000
Sn 5.185 0.597 2.033
Sn 4.425 -0.597 6.098
Au 3.273 0.994 4.079
Au 5.576 0.994 8.117
Au 4.034 -0.994 0.014
Au 6.337 -0.994 4.051
```

Results
relative energy among the computed polymorphs = 0.0 kJ/mol of atoms
ΔE_f = -346 meV/atom
crystal system = monoclinic
DOS at the Fermi energy = 2.1 states/eV per cell
uncorrected energy = -2.896 eV per atom



Density functional theory data (GGA-PBE) for crystalline Rb2TcRuI6 at its relaxed geometry.

```
10
Lattice="-4.005 4.005 5.692 4.005 -4.005 5.692 4.005 4.005 -5.692" Properties=species:S:1:pos:R:3 pbc="T T T"
Rb 4.005 0.000 2.846
Rb 0.000 4.005 2.846
Tc 0.000 0.000 0.000
Ru 0.000 0.000 5.692
I 2.039 2.039 0.000
I 1.965 -1.965 5.692
I 0.000 0.000 2.913
I 0.000 0.000 8.472
I -1.965 1.965 5.692
I 1.965 1.965 5.692
```

Results
crystal system = tetragonal
E_form (uncorrected) = -340 meV per atom
DOS at the Fermi energy = 6.3 states/eV per cell
uncorrected energy = -3.427 eV per atom



Density functional theory data (GGA-PBE) for crystalline Rb3MnRh at its relaxed geometry.

```
5
Lattice="6.262 0.000 0.000 0.000 6.262 0.000 0.000 0.000 6.262" Properties=species:S:1:pos:R:3 pbc="T T T"
Rb 0.000 0.000 3.131
Rb 0.000 3.131 0.000
Rb 3.131 0.000 0.000
Mn 3.131 3.131 3.131
Rh 0.000 0.000 0.000
```

Results
relative energy among the computed polymorphs = 0.0 kJ/mol of atoms
ΔE_f = 1020 meV/atom
crystal system = cubic
DOS at the Fermi energy = 11.1 states/eV per cell
uncorrected energy = -2.865 eV per atom



Density functional theory data (GGA-PBE) for crystalline Sm5Mg at its relaxed geometry.

```
6
Lattice="3.133 1.809 5.662 -3.133 1.809 5.662 0.000 -3.617 5.662" Properties=species:S:1:pos:R:3 pbc="T T T"
Sm -2.006 -0.143 5.662
Sm 0.000 0.000 2.752
Sm -2.006 0.143 11.325
Sm 0.879 1.809 5.662
Sm 0.000 0.000 14.235
Mg 0.000 0.000 8.493
```

Results
relative energy among the computed polymorphs = 2.8 kJ/mol of atoms
ΔE_f = 9 meV/atom
crystal system = trigonal
DOS at the Fermi energy = 7.1 states/eV per cell
uncorrected energy = -4.190 eV per atom



Density functional theory data (GGA-PBE) for crystalline TaInTe2 at its relaxed geometry.

```
4
Lattice="-1.783 1.841 8.536 1.783 -1.841 8.536 1.783 1.841 -8.536" Properties=species:S:1:pos:R:3 pbc="T T T"
Ta 0.000 0.000 0.000
In 0.000 1.841 4.359
Te 1.783 0.000 2.083
Te 0.000 0.000 7.219
```

Results
crystal system = orthorhombic
E_form (uncorrected) = -5 meV per atom
DOS at the Fermi energy = 2.9 states/eV per cell
uncorrected energy = -5.224 eV per atom



Density functional theory data (GGA-PBE) for crystalline Cs2Ca3F8 at its relaxed geometry.

```
13
Lattice="6.983 -3.605 0.000 6.983 3.605 0.000 -2.095 0.000 5.761" Properties=species:S:1:pos:R:3 pbc="T T T"
Cs 2.708 0.000 0.980
Cs 9.163 0.000 4.781
Ca 5.936 1.854 2.881
Ca 6.983 0.000 0.000
Ca 5.936 -1.854 2.881
F 0.369 0.000 2.728
F 5.463 1.534 0.687
F 6.408 1.534 5.075
F 4.558 0.000 3.461
F 7.313 0.000 2.300
F 5.463 -1.534 0.687
F 6.408 -1.534 5.075
F 11.503 0.000 3.033
```

Results
crystal system = monoclinic
E_form (uncorrected) = -3536 meV per atom
DOS at the Fermi energy = 0.0 states/eV per cell
uncorrected energy = -5.281 eV per atom



Density functional theory data (GGA-PBE) for crystalline BeReW2 at its relaxed geometry.

```
4
Lattice="1.588 -2.196 0.000 1.588 2.196 0.000 0.000 0.000 8.179" Properties=species:S:1:pos:R:3 pbc="T T T"
Be 0.000 0.000 0.000
Re 0.000 0.000 4.089
W 1.588 0.000 1.870
W 1.588 0.000 6.309
```

Results
ΔE_f = 193 meV/atom
crystal system = orthorhombic
DOS at the Fermi energy = 2.4 states/eV per cell
uncorrected energy = -10.328 eV per atom



Density functional theory data (GGA-PBE) for crystalline SrTlInGa at its relaxed geometry.

```
4
Lattice="0.000 3.830 3.830 3.830 0.000 3.830 3.830 3.830 0.000" Properties=species:S:1:pos:R:3 pbc="T T T"
Sr 0.000 0.000 0.000
Tl 1.915 1.915 1.915
In 3.830 3.830 3.830
Ga 5.745 5.745 5.745
```

Results
ΔE_f = -228 meV/atom
crystal system = cubic
DOS at the Fermi energy = 1.8 states/eV per cell
uncorrected energy = -2.682 eV per atom



Density functional theory data (GGA-PBE) for crystalline TcSnP at its relaxed geometry.

```
6
Lattice="4.692 -1.639 0.000 4.692 1.639 0.000 -4.103 0.000 6.677" Properties=species:S:1:pos:R:3 pbc="T T T"
Tc 0.701 0.000 1.578
Tc 4.580 0.000 5.099
Sn 3.321 0.000 0.830
Sn 1.960 0.000 5.847
P -0.875 0.000 3.507
P 6.156 0.000 3.170
```

Results
relative energy among the computed polymorphs = 0.3 kJ/mol of atoms
ΔE_f = -279 meV/atom
crystal system = monoclinic
DOS at the Fermi energy = 0.4 states/eV per cell
uncorrected energy = -6.871 eV per atom



Density functional theory data (GGA-PBE) for crystalline LaReB3 at its relaxed geometry.

```
5
Lattice="4.271 0.000 0.000 0.000 4.271 0.000 0.000 0.000 4.271" Properties=species:S:1:pos:R:3 pbc="T T T"
La 0.000 0.000 0.000
Re 2.136 2.136 2.136
B 0.000 0.000 2.136
B 0.000 2.136 0.000
B 2.136 0.000 0.000
```

Results
relative energy among the computed polymorphs = 297.5 kJ/mol of atoms
ΔE_f = 3032 meV/atom
crystal system = cubic
DOS at the Fermi energy = 10.8 states/eV per cell
uncorrected energy = -4.450 eV per atom



Density functional theory data (GGA-PBE) for crystalline Sc2ReGeTe at its relaxed geometry.

```
5
Lattice="5.246 0.000 0.000 0.000 5.246 0.000 0.000 0.000 4.845" Properties=species:S:1:pos:R:3 pbc="T T T"
Sc 0.000 2.623 0.000
Sc 2.623 0.000 0.000
Re 0.000 0.000 2.422
Ge 2.623 2.623 2.422
Te 0.000 0.000 0.000
```

Results
crystal system = tetragonal
E_form (uncorrected) = 880 meV per atom
DOS at the Fermi energy = 6.8 states/eV per cell
uncorrected energy = -5.694 eV per atom